Record 1
Here is an optimized crystal structure of Li2ZrSc from the Alexandria database. Energies are from PBE.

Summary:
SG = Fm-3m
Theoretical density = 3.135 g/cm³
Distance to the lowest polymorph of the same formula = 232.8 meV/atom

abc: 4.826 4.826 4.826
angles: 60.00 60.00 60.00
Positions (direct):
Sc (0.000, 0.000, 0.000)
Zr (0.500, 0.500, 0.500)
Li (0.250, 0.250, 0.250)
Li (0.750, 0.750, 0.750)

Record 2
Here is an optimized crystal structure of LiZrSc from the Alexandria database. Energies are from PBE.

Summary:
SG = P6_3/mmc
Theoretical density = 3.787 g/cm³
Distance to the lowest polymorph of the same formula = 244.9 meV/atom

abc: 8.347 6.243 4.817
angles: 90.00 90.00 90.00
Positions (direct):
Sc (0.000, 0.000, 0.000)
Sc (0.500, 0.500, 0.500)
Sc (0.500, 0.000, 0.500)
Sc (0.000, 0.500, 0.000)
Zr (0.333, 0.250, 0.000)
Zr (0.167, 0.750, 0.500)
Zr (0.667, 0.750, 0.000)
Zr (0.833, 0.250, 0.500)
Li (0.667, 0.250, 0.000)
Li (0.833, 0.750, 0.500)
Li (0.333, 0.750, 0.000)
Li (0.167, 0.250, 0.500)

| no. | ΔH_f (0 K) (eV/atom) | M_tot (Bohr magnetons per cell) |
| --- | --- | --- |
| 1 | 0.315 | 0.00 |
| 2 | 0.295 | 0.00 |